(1)
# PBE-GGA SrTa2Fe, optimized geometry
data_SrTa2Fe
_chemical_formula_sum 'Sr4 Ta8 Fe4'
_cell_length_a 5.2262
_cell_length_b 5.2262
_cell_length_c 16.2576
_cell_angle_alpha 90.00
_cell_angle_beta 90.00
_cell_angle_gamma 90.00
_space_group_name_H-M_alt 'I 41/a m d'
_space_group_IT_number 141
loop_
_space_group_symop_operation_xyz
'x,y,z'
'-x,-y,-z'
'-y+1/4,x+3/4,z+1/4'
'y+1/4,-x+3/4,-z+1/4'
'-x+1/2,-y,z+1/2'
'x+1/2,y,-z+1/2'
'y+1/4,-x+1/4,z+3/4'
'-y+1/4,x+1/4,-z+3/4'
'x,-y,-z'
'-x,y,z'
'-y+1/4,-x+1/4,-z+3/4'
'y+1/4,x+1/4,z+3/4'
'-x+1/2,y,-z+1/2'
'x+1/2,-y,z+1/2'
'y+1/4,x+3/4,-z+1/4'
'-y+1/4,-x+3/4,z+1/4'
'x+1/2,y+1/2,z+1/2'
'-x+1/2,-y+1/2,-z+1/2'
'-y+3/4,x+1/4,z+3/4'
'y+3/4,-x+1/4,-z+3/4'
'-x,-y+1/2,z'
'x,y+1/2,-z'
'y+3/4,-x+3/4,z+1/4'
'-y+3/4,x+3/4,-z+1/4'
'x+1/2,-y+1/2,-z+1/2'
'-x+1/2,y+1/2,z+1/2'
'-y+3/4,-x+3/4,-z+1/4'
'y+3/4,x+3/4,z+1/4'
'-x,y+1/2,-z'
'x,-y+1/2,z'
'y+3/4,x+1/4,-z+3/4'
'-y+3/4,-x+1/4,z+3/4'
loop_
_atom_site_label
_atom_site_fract_x
_atom_site_fract_y
_atom_site_fract_z
Sr1 0.0000 0.2500 0.3750
Ta1 0.0000 0.0000 0.0000
Fe1 0.0000 0.2500 0.8750
# ΔH_f (0 K)   1260 meV per atom

---

(2)
# PBE-GGA SrTaFe4, optimized geometry
data_SrTaFe4
_chemical_formula_sum 'Sr4 Ta4 Fe16'
_cell_length_a 7.1647
_cell_length_b 7.1647
_cell_length_c 7.1647
_cell_angle_alpha 90.00
_cell_angle_beta 90.00
_cell_angle_gamma 90.00
_space_group_name_H-M_alt 'F -4 3 m'
_space_group_IT_number 216
_space_group_name_Hall 'F -4 2 3'
loop_
_atom_site_label
_atom_site_fract_x
_atom_site_fract_y
_atom_site_fract_z
Sr1 0.0000 0.0000 0.0000
Ta1 0.2500 0.2500 0.7500
Fe1 0.1241 0.1241 0.3759
# ΔH_f (0 K)   394 meV per atom

---

(3)
# PBE-GGA SrTb3Fe, optimized geometry
data_SrTb3Fe
_chemical_formula_sum 'Sr1 Tb3 Fe1'
_cell_length_a 5.3952
_cell_length_b 5.3952
_cell_length_c 5.3952
_cell_angle_alpha 90.00
_cell_angle_beta 90.00
_cell_angle_gamma 90.00
_space_group_name_H-M_alt 'P m -3 m'
_space_group_IT_number 221
_space_group_name_Hall '-P 4 2 3'
loop_
_atom_site_label
_atom_site_fract_x
_atom_site_fract_y
_atom_site_fract_z
Sr1 0.0000 0.0000 0.0000
Tb1 0.0000 0.5000 0.5000
Fe1 0.5000 0.5000 0.5000
# ΔH_f (0 K)   87 meV per atom

---

(4)
# PBE-GGA SrFe3Tc, optimized geometry
data_SrFe3Tc
_chemical_formula_sum 'Sr1 Fe3 Tc1'
_cell_length_a 4.6584
_cell_length_b 4.6584
_cell_length_c 4.6584
_cell_angle_alpha 90.00
_cell_angle_beta 90.00
_cell_angle_gamma 90.00
_space_group_name_H-M_alt 'P m -3 m'
_space_group_IT_number 221
_space_group_name_Hall '-P 4 2 3'
loop_
_atom_site_label
_atom_site_fract_x
_atom_site_fract_y
_atom_site_fract_z
Sr1 0.0000 0.0000 0.0000
Fe1 0.0000 0.5000 0.5000
Tc1 0.5000 0.5000 0.5000
# ΔH_f (0 K)   920 meV per atom

---

(5)
# PBE-GGA SrFe2Tc, optimized geometry
data_SrFe2Tc
_chemical_formula_sum 'Sr4 Fe8 Tc4'
_cell_length_a 6.3251
_cell_length_b 6.3251
_cell_length_c 6.3251
_cell_angle_alpha 90.00
_cell_angle_beta 90.00
_cell_angle_gamma 90.00
_space_group_name_H-M_alt 'F m -3 m'
_space_group_IT_number 225
_space_group_name_Hall '-F 4 2 3'
loop_
_atom_site_label
_atom_site_fract_x
_atom_site_fract_y
_atom_site_fract_z
Sr1 0.0000 0.0000 0.0000
Fe1 0.2500 0.2500 0.2500
Tc1 0.0000 0.0000 0.5000
# ΔH_f (0 K)   1097 meV per atom

---

(6)
# PBE-GGA Sr2FeTc, optimized geometry
data_Sr2FeTc
_chemical_formula_sum 'Sr6 Fe3 Tc3'
_cell_length_a 3.9939
_cell_length_b 3.9939
_cell_length_c 26.1216
_cell_angle_alpha 90.00
_cell_angle_beta 90.00
_cell_angle_gamma 120.00
_space_group_name_H-M_alt 'R 3 m'
_space_group_IT_number 160
_space_group_name_Hall 'R 3 -2"'
loop_
_atom_site_label
_atom_site_fract_x
_atom_site_fract_y
_atom_site_fract_z
Sr1 0.0000 0.0000 0.0000
Sr2 0.0000 0.0000 0.1792
Fe1 0.0000 0.0000 0.4226
Tc1 0.0000 0.0000 0.7565
# ΔH_f (0 K)   277 meV per atom

---

(7)
# PBE-GGA SrFeTc2, optimized geometry
data_SrFeTc2
_chemical_formula_sum 'Sr1 Fe1 Tc2'
_cell_length_a 2.8250
_cell_length_b 2.8250
_cell_length_c 8.6296
_cell_angle_alpha 90.00
_cell_angle_beta 90.00
_cell_angle_gamma 90.00
_space_group_name_H-M_alt 'P 4/m m m'
_space_group_IT_number 123
_space_group_name_Hall '-P 4 2'
loop_
_atom_site_label
_atom_site_fract_x
_atom_site_fract_y
_atom_site_fract_z
Sr1 0.0000 0.0000 0.0000
Fe1 0.0000 0.0000 0.5000
Tc1 0.5000 0.5000 0.3094
# ΔH_f (0 K)   699 meV per atom

---

(8)
# PBE-GGA SrFeTc2, optimized geometry
data_SrFeTc2
_chemical_formula_sum 'Sr4 Fe4 Tc8'
_cell_length_a 4.8391
_cell_length_b 4.8391
_cell_length_c 16.1223
_cell_angle_alpha 90.00
_cell_angle_beta 90.00
_cell_angle_gamma 90.00
_space_group_name_H-M_alt 'I 41/a m d'
_space_group_IT_number 141
loop_
_space_group_symop_operation_xyz
'x,y,z'
'-x,-y,-z'
'-y+1/4,x+3/4,z+1/4'
'y+1/4,-x+3/4,-z+1/4'
'-x+1/2,-y,z+1/2'
'x+1/2,y,-z+1/2'
'y+1/4,-x+1/4,z+3/4'
'-y+1/4,x+1/4,-z+3/4'
'x,-y,-z'
'-x,y,z'
'-y+1/4,-x+1/4,-z+3/4'
'y+1/4,x+1/4,z+3/4'
'-x+1/2,y,-z+1/2'
'x+1/2,-y,z+1/2'
'y+1/4,x+3/4,-z+1/4'
'-y+1/4,-x+3/4,z+1/4'
'x+1/2,y+1/2,z+1/2'
'-x+1/2,-y+1/2,-z+1/2'
'-y+3/4,x+1/4,z+3/4'
'y+3/4,-x+1/4,-z+3/4'
'-x,-y+1/2,z'
'x,y+1/2,-z'
'y+3/4,-x+3/4,z+1/4'
'-y+3/4,x+3/4,-z+1/4'
'x+1/2,-y+1/2,-z+1/2'
'-x+1/2,y+1/2,z+1/2'
'-y+3/4,-x+3/4,-z+1/4'
'y+3/4,x+3/4,z+1/4'
'-x,y+1/2,-z'
'x,-y+1/2,z'
'y+3/4,x+1/4,-z+3/4'
'-y+3/4,-x+1/4,z+3/4'
loop_
_atom_site_label
_atom_site_fract_x
_atom_site_fract_y
_atom_site_fract_z
Sr1 0.0000 0.2500 0.3750
Fe1 0.0000 0.2500 0.8750
Tc1 0.0000 0.0000 0.0000
# ΔH_f (0 K)   999 meV per atom

---

(9)
# PBE-GGA SrFeTc2, optimized geometry
data_SrFeTc2
_chemical_formula_sum 'Sr1 Fe1 Tc2'
_cell_length_a 3.1924
_cell_length_b 3.1924
_cell_length_c 7.5041
_cell_angle_alpha 90.00
_cell_angle_beta 90.00
_cell_angle_gamma 90.00
_space_group_name_H-M_alt 'P 4 m m'
_space_group_IT_number 99
_space_group_name_Hall 'P 4 -2'
loop_
_atom_site_label
_atom_site_fract_x
_atom_site_fract_y
_atom_site_fract_z
Sr1 0.0000 0.0000 0.0000
Fe1 0.5000 0.5000 0.3272
Tc1 0.0000 0.0000 0.5020
Tc2 0.5000 0.5000 0.6731
# ΔH_f (0 K)   516 meV per atom

---

(10)
# PBE-GGA SrFeTc2, optimized geometry
data_SrFeTc2
_chemical_formula_sum 'Sr1 Fe1 Tc2'
_cell_length_a 4.5849
_cell_length_b 4.5849
_cell_length_c 3.3062
_cell_angle_alpha 90.00
_cell_angle_beta 90.00
_cell_angle_gamma 90.00
_space_group_name_H-M_alt 'P 4/m m m'
_space_group_IT_number 123
_space_group_name_Hall '-P 4 2'
loop_
_atom_site_label
_atom_site_fract_x
_atom_site_fract_y
_atom_site_fract_z
Sr1 0.0000 0.0000 0.0000
Fe1 0.5000 0.5000 0.0000
Tc1 0.0000 0.5000 0.5000
# ΔH_f (0 K)   1209 meV per atom

---

(11)
# PBE-GGA SrFeTc2, optimized geometry
data_SrFeTc2
_chemical_formula_sum 'Sr2 Fe2 Tc4'
_cell_length_a 3.8474
_cell_length_b 3.8474
_cell_length_c 9.7021
_cell_angle_alpha 90.00
_cell_angle_beta 90.00
_cell_angle_gamma 90.00
_space_group_name_H-M_alt 'I 4/m m m'
_space_group_IT_number 139
_space_group_name_Hall '-I 4 2'
loop_
_atom_site_label
_atom_site_fract_x
_atom_site_fract_y
_atom_site_fract_z
Sr1 0.0000 0.0000 0.0000
Fe1 0.0000 0.0000 0.5000
Tc1 0.0000 0.5000 0.2500
# ΔH_f (0 K)   1130 meV per atom

---

(12)
# PBE-GGA Sr2FeTc, optimized geometry
data_Sr2FeTc
_chemical_formula_sum 'Sr8 Fe4 Tc4'
_cell_length_a 11.4511
_cell_length_b 11.4511
_cell_length_c 4.3702
_cell_angle_alpha 90.00
_cell_angle_beta 90.00
_cell_angle_gamma 90.00
_space_group_name_H-M_alt 'I -4 2 d'
_space_group_IT_number 122
_space_group_name_Hall 'I -4 2bw'
loop_
_atom_site_label
_atom_site_fract_x
_atom_site_fract_y
_atom_site_fract_z
Sr1 0.0666 0.2500 0.1250
Fe1 0.0000 0.0000 0.0000
Tc1 0.0000 0.0000 0.5000
# ΔH_f (0 K)   801 meV per atom